[1]
This record from Alexandria describes an optimized crystal structure of SrCaMgV2. The functional is PBE-GGA.

a = 5.373 Å, b = 5.373 Å, c = 6.079 Å
α = 90.00°, β = 90.00°, γ = 90.00°
Sites, in units of the cell vectors:
Sr1 0.000 0.000 0.000
Ca1 0.000 0.000 0.500
Mg1 0.500 0.500 0.000
V1 0.000 0.500 0.500
V2 0.500 0.000 0.500

ΔH_f (0 K)	1.6527	eV per atom
magnetic moment	8.5	Bohr magnetons per cell
Fermi-level density of states	1.24	states/eV per atom

=====

[2]
This record from Alexandria describes an optimized crystal structure of Sr2CaMg12Zn3. The functional is PBE-GGA.

a = 8.961 Å, b = 8.961 Å, c = 8.961 Å
α = 62.07°, β = 62.07°, γ = 62.07°
Sites, in units of the cell vectors:
Sr1 0.085 0.085 0.085
Sr2 0.915 0.915 0.915
Ca1 0.500 0.500 0.500
Mg1 0.038 0.662 0.662
Mg2 0.238 0.238 0.637
Mg3 0.238 0.637 0.238
Mg4 0.338 0.338 0.962
Mg5 0.338 0.962 0.338
Mg6 0.363 0.762 0.762
Mg7 0.637 0.238 0.238
Mg8 0.662 0.038 0.662
Mg9 0.662 0.662 0.038
Mg10 0.762 0.363 0.762
Mg11 0.762 0.762 0.363
Mg12 0.962 0.338 0.338
Zn1 0.000 0.500 0.500
Zn2 0.500 0.000 0.500
Zn3 0.500 0.500 0.000

ΔH_f (0 K)	0.1972	eV per atom
magnetic moment	0.0	Bohr magnetons per cell
Fermi-level density of states	0.50	states/eV per atom

=====

[3]
This record from Alexandria describes an optimized crystal structure of SrCa2MgZn. The functional is PBE-GGA.

a = 5.791 Å, b = 5.791 Å, c = 5.951 Å
α = 90.00°, β = 90.00°, γ = 90.00°
Sites, in units of the cell vectors:
Sr1 0.000 0.000 0.000
Ca1 0.000 0.500 0.500
Ca2 0.500 0.000 0.500
Mg1 0.500 0.500 0.000
Zn1 0.000 0.000 0.500

polymorph energy (0 for the lowest one)	95.8	meV/atom
ΔH_f (0 K)	0.0925	eV per atom
magnetic moment	0.0	Bohr magnetons per cell
Fermi-level density of states	1.25	states/eV per atom

=====

[4]
This record from Alexandria describes an optimized crystal structure of SrCaMgZn. The functional is PBE-GGA.

a = 3.808 Å, b = 3.808 Å, c = 8.366 Å
α = 90.00°, β = 90.00°, γ = 90.00°
Sites, in units of the cell vectors:
Sr1 0.000 0.000 0.000
Ca1 0.000 0.000 0.551
Mg1 0.500 0.500 0.291
Zn1 0.500 0.500 0.757

ΔH_f (0 K)	-0.1315	eV per atom
magnetic moment	0.0	Bohr magnetons per cell
Fermi-level density of states	0.82	states/eV per atom

=====

[5]
This record from Alexandria describes an optimized crystal structure of SrCaMg2Zn. The functional is PBE-GGA.

a = 5.295 Å, b = 5.295 Å, c = 5.650 Å
α = 90.00°, β = 90.00°, γ = 90.00°
Sites, in units of the cell vectors:
Sr1 0.000 0.000 0.000
Ca1 0.500 0.500 0.000
Mg1 0.000 0.500 0.500
Mg2 0.500 0.000 0.500
Zn1 0.500 0.500 0.500

ΔH_f (0 K)	0.0177	eV per atom
magnetic moment	0.0	Bohr magnetons per cell
Fermi-level density of states	0.57	states/eV per atom

=====

[6]
This record from Alexandria describes an optimized crystal structure of SrCa2MgZn. The functional is PBE-GGA.

a = 5.832 Å, b = 5.832 Å, c = 5.295 Å
α = 90.00°, β = 90.00°, γ = 90.00°
Sites, in units of the cell vectors:
Sr1 0.000 0.000 0.000
Ca1 0.000 0.500 0.500
Ca2 0.500 0.000 0.500
Mg1 0.500 0.500 0.000
Zn1 0.500 0.500 0.500

polymorph energy (0 for the lowest one)	0.0	meV/atom
ΔH_f (0 K)	-0.0033	eV per atom
magnetic moment	0.0	Bohr magnetons per cell
Fermi-level density of states	0.91	states/eV per atom

=====

[7]
This record from Alexandria describes an optimized crystal structure of SrCa2MgZr. The functional is PBE-GGA.

a = 5.893 Å, b = 5.893 Å, c = 5.453 Å
α = 90.00°, β = 90.00°, γ = 90.00°
Sites, in units of the cell vectors:
Sr1 0.000 0.000 0.000
Ca1 0.000 0.500 0.000
Ca2 0.500 0.000 0.000
Mg1 0.500 0.500 0.500
Zr1 0.000 0.000 0.500

ΔH_f (0 K)	1.2046	eV per atom
magnetic moment	0.0	Bohr magnetons per cell
Fermi-level density of states	0.83	states/eV per atom

=====

[8]
This record from Alexandria describes an optimized crystal structure of CaMg4Ta. The functional is PBE-GGA.

a = 5.826 Å, b = 5.826 Å, c = 5.826 Å
α = 60.00°, β = 60.00°, γ = 60.00°
Sites, in units of the cell vectors:
Ca1 0.000 0.000 0.000
Mg1 0.129 0.624 0.624
Mg2 0.624 0.129 0.624
Mg3 0.624 0.624 0.129
Mg4 0.624 0.624 0.624
Ta1 0.250 0.250 0.250

ΔH_f (0 K)	0.3883	eV per atom
magnetic moment	3.1	Bohr magnetons per cell
Fermi-level density of states	1.22	states/eV per atom